A plane-wave DFT calculation with GGA+U was carried out for a geometry-optimized Rb2ScV3F12 structure.

Output
E_tot: -6.022 eV/atom
DOS at the Fermi energy: 3.358 states/eV/cell
Spin magnetization: 8.00 μB per formula unit

Cell: 7.653 7.653 7.653 Å, 58.94 58.94 58.94°
Positions (direct):
Rb: 0.117 0.117 0.117
Rb: 0.883 0.883 0.883
Sc: 0.500 0.500 0.500
V: 0.000 0.500 0.500
V: 0.500 0.000 0.500
V: 0.500 0.500 0.000
F: 0.176 0.176 0.570
F: 0.176 0.570 0.176
F: 0.182 0.570 0.570
F: 0.430 0.430 0.818
F: 0.430 0.818 0.430
F: 0.430 0.824 0.824
F: 0.570 0.176 0.176
F: 0.570 0.182 0.570
F: 0.570 0.570 0.182
F: 0.818 0.430 0.430
F: 0.824 0.430 0.824
F: 0.824 0.824 0.430